The following is a DFT calculation (GGA-PBE) of a relaxed Cs3KZn2Sn2 crystal.

abc: 7.133 6.976 7.345
angles: 90.00 109.71 90.00
Fractional positions:
Cs1 0.000 0.000 0.000
Cs2 0.031 0.500 0.347
Cs3 0.688 0.500 0.671
K1 0.336 0.000 0.670
Zn1 0.515 0.251 0.163
Zn2 0.515 0.749 0.163
Sn1 0.280 0.500 0.928
Sn2 0.730 0.000 0.416

Summary:
electronic total energy = -1.951 eV per atom
calculated volume = 344 Å³ per cell



The following is a DFT calculation (GGA-PBE) of a relaxed YErGe2Mo2C crystal.

abc: 5.904 5.904 7.193
angles: 122.06 122.06 37.72
Fractional positions:
Y1 0.000 0.000 0.000
Er1 0.143 0.143 0.577
Ge1 0.435 0.435 0.630
Ge2 0.709 0.709 0.948
Mo1 0.369 0.369 0.212
Mo2 0.775 0.775 0.369
C1 0.573 0.573 0.293

Summary:
electronic total energy = -7.864 eV per atom
calculated volume = 127 Å³ per cell
magnetic moment = 0.0 μB/f.u.



Question: electronic total energy of number 2 (YErGe2Mo2C)?
Answer: -7.864 eV per atom